{"formula": "Fe2Pt3O8", "functional": "PBE with a Hubbard U", "state": "optimized geometry", "lattice": [[4.987, -3.077, 0.000], [4.987, 3.077, 0.000], [-1.165, 0.000, 5.253]], "species": ["Fe", "Fe", "Pt", "Pt", "Pt", "O", "O", "O", "O", "O", "O", "O", "O"], "fractional_positions": [[0.202, 0.202, 0.098], [0.798, 0.798, 0.902], [0.249, 0.751, 0.500], [0.500, 0.500, 0.000], [0.751, 0.249, 0.500], [0.103, 0.103, 0.383], [0.155, 0.605, 0.137], [0.395, 0.845, 0.863], [0.398, 0.398, 0.628], [0.602, 0.602, 0.372], [0.605, 0.155, 0.137], [0.845, 0.395, 0.863], [0.897, 0.897, 0.617]], "final_energy_ev_per_atom": -6.08, "volume_a3_per_atom": 12.4}